Mn2HCl: optimized geometry, PBE.

Unit cell a=5.552 b=5.552 c=5.552 alpha=123.52 beta=123.52 gamma=84.00
Sites, in units of the cell vectors:
Mn: 0.030 0.625 0.905
Mn: 0.375 0.280 0.405
Mn: 0.720 0.125 0.095
Mn: 0.875 0.970 0.595
H: 0.000 0.000 0.000
H: 0.750 0.250 0.500
Cl: 0.250 0.750 0.500
Cl: 0.500 0.500 0.000

Properties
As for the raw total energy: -5.75 eV per atom. Its space group is I-42d.